Entry 1:
Compound: SrAl2I8
Source: Alexandria
Functional: PBE-GGA
Structure: relaxed

Its crystal system is monoclinic. The calculation puts the raw formation energy at -92.2 kJ per mole of atoms. As for the density of states at the Fermi level: 0.0 states/eV/cell.

```
SrAl2I8
1.0
-4.0215 -0.5563 6.0575
5.4369 -5.9559 4.5304
5.1361 5.4961 5.3825
Sr Al I
1 2 8
direct
0.0000 0.0000 0.0000 Sr
0.6666 0.7992 0.7992 Al
0.3334 0.2008 0.2008 Al
0.2423 0.2920 0.9300 I
0.7577 0.0700 0.7080 I
0.3111 0.8008 0.8008 I
0.6889 0.1992 0.1992 I
0.2423 0.9300 0.2920 I
0.7577 0.7080 0.0700 I
0.8261 0.6314 0.6314 I
0.1739 0.3686 0.3686 I
```

=====

Entry 2:
Compound: V2IrOs
Source: Alexandria
Functional: PBE-GGA
Structure: relaxed

Its crystal system is tetragonal. Its energy relative to the elements is -0.30 eV/atom. As for the density of states at the Fermi level: 6.3 states/eV/cell.

```
V2IrOs
1.0
-0.2444 -2.3100 -1.6316
-1.5197 -1.2739 2.0312
-5.8360 2.5651 -2.7576
Ir Os V
1 1 2
direct
0.5000 0.5000 0.5000 Ir
0.5000 0.5000 0.0000 Os
0.0000 0.0000 0.7572 V
0.0000 0.0000 0.2428 V
```

=====

Entry 3:
Compound: FeHPt2Rh
Source: Alexandria
Functional: PBE-GGA
Structure: relaxed

Its crystal system is tetragonal. As for the density of states at the Fermi level: 3.9 states/eV/cell. The energy relative to the lowest polymorph listed for this composition is 0.0 kJ/mol of formula units.

```
FeHPt2Rh
1.0
-2.4870 0.6453 -2.9948
2.0878 -2.4659 -2.2652
-2.2580 -3.0337 1.2214
H Rh Fe Pt
1 1 1 2
direct
0.0000 0.0000 0.0000 H
0.0000 0.0000 0.5000 Rh
0.5000 0.5000 0.5000 Fe
0.0000 0.5000 0.0000 Pt
0.5000 0.0000 0.0000 Pt
```